1.
Here is an optimized crystal structure of NaRe2IN from the Alexandria database. Energies are from PBE-GGA.

Properties
space group: P4/mmm, No. 123
uncorrected formation energy: 3.5498 eV/atom
relative energy among the computed polymorphs: 2.9401 eV/atom

a = 5.712 Å, b = 5.712 Å, c = 5.759 Å
α = 90.00°, β = 90.00°, γ = 90.00°
Fractional coordinates of all 5 atoms:
Na (0.000, 0.000, 0.000)
Re (0.000, 0.500, 0.000)
Re (0.500, 0.000, 0.000)
I (0.000, 0.000, 0.500)
N (0.500, 0.500, 0.500)



2.
Here is an optimized crystal structure of GdDyErSc from the Alexandria database. Energies are from PBE-GGA.

Properties
ΔE_f: 0.1097 eV per atom
space group: F-43m, No. 216

a = 5.523 Å, b = 5.523 Å, c = 5.523 Å
α = 60.00°, β = 60.00°, γ = 60.00°
Fractional coordinates of all 4 atoms:
Gd (0.000, 0.000, 0.000)
Dy (0.500, 0.500, 0.500)
Er (0.750, 0.750, 0.750)
Sc (0.250, 0.250, 0.250)



3.
Here is an optimized crystal structure of Pm5TlAg2 from the Alexandria database. Energies are from PBE-GGA.

Properties
ΔE_f: -0.2084 eV per atom
space group: I4/mcm, No. 140

a = 8.932 Å, b = 8.932 Å, c = 8.932 Å
α = 124.20°, β = 124.20°, γ = 82.87°
Fractional coordinates of all 16 atoms:
Pm (0.000, 0.000, 0.000)
Pm (0.006, 0.506, 0.810)
Pm (0.196, 0.006, 0.500)
Pm (0.304, 0.804, 0.810)
Pm (0.494, 0.304, 0.500)
Pm (0.500, 0.500, 0.000)
Pm (0.506, 0.696, 0.500)
Pm (0.696, 0.196, 0.190)
Pm (0.804, 0.994, 0.500)
Pm (0.994, 0.494, 0.190)
Tl (0.250, 0.250, 0.000)
Tl (0.750, 0.750, 0.000)
Ag (0.132, 0.368, 0.500)
Ag (0.368, 0.868, 0.235)
Ag (0.632, 0.132, 0.765)
Ag (0.868, 0.632, 0.500)



What did the first record say?
Here is an optimized crystal structure of NaRe2IN from the Alexandria database. Energies are from PBE-GGA.

Properties
space group: P4/mmm, No. 123
uncorrected formation energy: 3.5498 eV/atom
relative energy among the computed polymorphs: 2.9401 eV/atom

a = 5.712 Å, b = 5.712 Å, c = 5.759 Å
α = 90.00°, β = 90.00°, γ = 90.00°
Fractional coordinates of all 5 atoms:
Na (0.000, 0.000, 0.000)
Re (0.000, 0.500, 0.000)
Re (0.500, 0.000, 0.000)
I (0.000, 0.000, 0.500)
N (0.500, 0.500, 0.500)